{"formula": "CsCuTe", "functional": "SCAN", "state": "PBEsol geometry", "dft_energy_ev_per_cell": -184.78, "spacegroup": "C2/m (12)", "formation_energy_uncorrected_ev_per_atom": -0.7102, "lattice_angstrom": [[-4.1283, -0.7243, -1.1064], [-0.4521, -4.6981, 4.7622], [0.1160, 6.3460, 3.9051]], "species": ["Cs", "Cs", "Te", "Te", "Cu", "Cu"], "fractional_positions": [[0.0974, 0.3007, 0.1947], [0.9026, 0.6993, 0.8053], [0.6292, 0.7811, 0.2584], [0.3708, 0.2189, 0.7416], [0.7837, 0.0794, 0.5674], [0.2163, 0.9206, 0.4326]]}

=====

{"formula": "CsTl2Cu2", "functional": "SCAN", "state": "PBEsol geometry", "dft_energy_ev_per_cell": -211.55, "spacegroup": "I4/mmm (139)", "lattice_angstrom": [[-4.1756, -0.1389, -2.4808], [-1.5702, -3.6123, 2.8451], [0.7213, 5.5033, 3.2363]], "species": ["Cs", "Tl", "Tl", "Cu", "Cu"], "fractional_positions": [[0.0000, 0.0000, 0.0000], [0.2500, 0.7500, 0.5000], [0.7500, 0.2500, 0.5000], [0.3858, 0.3858, 0.7717], [0.6142, 0.6142, 0.2283]]}

=====

{"formula": "CsCuW2", "functional": "SCAN", "state": "PBEsol geometry", "dft_energy_ev_per_cell": -182.32, "spacegroup": "Fm-3m (225)", "lattice_angstrom": [[4.5571, 0.0000, 0.0000], [2.2785, 3.9465, 0.0000], [2.2785, 1.3155, 3.7208]], "species": ["Cs", "Cu", "W", "W"], "fractional_positions": [[0.5000, 0.5000, 0.5000], [0.0000, 0.0000, 0.0000], [0.2500, 0.2500, 0.2500], [0.7500, 0.7500, 0.7500]]}

=====

{"formula": "Cs2CuW", "functional": "SCAN", "state": "PBEsol geometry", "dft_energy_ev_per_cell": -152.85, "spacegroup": "Fm-3m (225)", "lattice_angstrom": [[-1.0599, -0.7938, -5.8672], [-2.0616, -5.2864, -1.9954], [-5.6540, -0.4623, -1.9991]], "species": ["Cs", "Cs", "Cu", "W"], "fractional_positions": [[0.2500, 0.2500, 0.2500], [0.7500, 0.7500, 0.7500], [0.0000, 0.0000, 0.0000], [0.5000, 0.5000, 0.5000]]}

=====

{"formula": "CsDyW2O8", "functional": "SCAN", "state": "PBEsol geometry", "dft_energy_ev_per_cell": -614.86, "spacegroup": "C2/c (15)", "formation_energy_uncorrected_ev_per_atom": -2.7163, "lattice_angstrom": [[-5.3961, 4.7975, 2.0522], [-5.9468, -2.8282, 3.6505], [4.6338, -2.5104, 5.3773]], "species": ["Cs", "Cs", "Dy", "Dy", "W", "W", "W", "W", "O", "O", "O", "O", "O", "O", "O", "O", "O", "O", "O", "O", "O", "O", "O", "O"], "fractional_positions": [[0.7500, 0.8018, 0.8018], [0.2500, 0.1982, 0.1982], [0.7500, 0.2271, 0.2271], [0.2500, 0.7729, 0.7729], [0.7754, 0.6897, 0.3016], [0.2246, 0.3103, 0.6984], [0.7246, 0.3016, 0.6897], [0.2754, 0.6984, 0.3103], [0.5625, 0.7522, 0.3789], [0.4375, 0.2478, 0.6211], [0.9375, 0.3789, 0.7522], [0.0625, 0.6211, 0.2478], [0.8738, 0.0634, 0.6226], [0.1262, 0.9366, 0.3774], [0.6262, 0.6226, 0.0634], [0.3738, 0.3774, 0.9366], [0.9665, 0.3710, 0.4126], [0.0335, 0.6290, 0.5874], [0.5335, 0.4126, 0.3710], [0.4665, 0.5874, 0.6290], [0.7009, 0.9504, 0.2167], [0.2991, 0.0496, 0.7833], [0.7991, 0.2167, 0.9504], [0.2009, 0.7833, 0.0496]]}

=====

{"formula": "CsDyZnSe3", "functional": "SCAN", "state": "PBEsol geometry", "dft_energy_ev_per_cell": -337.99, "spacegroup": "Cmcm (63)", "formation_energy_uncorrected_ev_per_atom": -1.6066, "lattice_angstrom": [[-0.0723, -1.2945, -3.8803], [-1.3624, -6.7264, 4.4262], [-10.6256, 1.8715, -0.4264]], "species": ["Cs", "Cs", "Zn", "Zn", "Se", "Se", "Se", "Se", "Se", "Se", "Dy", "Dy"], "fractional_positions": [[0.2561, 0.5123, 0.7500], [0.7439, 0.4877, 0.2500], [0.5374, 0.0748, 0.7500], [0.4626, 0.9252, 0.2500], [0.6183, 0.2365, 0.9410], [0.0573, 0.1147, 0.2500], [0.6183, 0.2365, 0.5590], [0.9427, 0.8853, 0.7500], [0.3817, 0.7635, 0.0590], [0.3817, 0.7635, 0.4410], [0.0000, 0.0000, 0.0000], [0.0000, 0.0000, 0.5000]]}